EuSi3Ir, relaxed, DFT GGA-PBEsol; magnetization = 6.68 μB/cell; uncorrected energy = -41.7 eV per cell; formation energy (no corrections) = -4.06 eV/f.u.; space-group type = I4mm, No. 107
1.0
-1.4781 -3.9080 -0.3274
0.7682 -0.6316 4.0713
-4.1513 3.8820 -0.7716
Eu Si Ir
1 3 1
direct
0.0008 0.0008 0.0015 Eu
0.7377 0.2377 0.4753 Si
0.2377 0.7377 0.4753 Si
0.5864 0.5864 0.1729 Si
0.3481 0.3481 0.6962 Ir